1) First-principles (PBE) data for a relaxed structure of RbZr, as listed in OQMD.

Computed properties:
Its space group is Pmma (51).

abc: 5.0196 3.3085 10.0721
angles: 90.00 90.00 90.00
Closest atoms and distances in Å follow each position.
Fractional coordinates of all 4 atoms:
Rb: 0.2500 0.0000 0.1846  2 Rb 3.31
Rb: 0.7500 0.0000 0.8154  2 Rb 3.31
Zr: 0.2500 0.5000 0.5546  2 Zr 2.74
Zr: 0.7500 0.5000 0.4454  2 Zr 2.74



2) First-principles (PBE) data for a relaxed structure of RbZr, as listed in OQMD.

Computed properties:
Its space group is Pmmn (59).

abc: 5.1755 17.7456 7.6406
angles: 90.00 90.00 90.00
Closest atoms and distances in Å follow each position.
Fractional coordinates of all 16 atoms:
Rb: 0.2500 0.0133 0.1912  3 Zr 3.90-4.21, 5 Rb 3.93-4.25
Rb: 0.2500 0.1448 0.6555  3 Rb 3.73-3.99, 4 Zr 3.90-3.91
Rb: 0.2500 0.3552 0.6555  3 Rb 3.73-3.99, 4 Zr 3.90-3.91
Rb: 0.2500 0.4867 0.1912  3 Zr 3.90-4.21, 5 Rb 3.93-4.25
Rb: 0.7500 0.5133 0.8088  3 Zr 3.90-4.21, 5 Rb 3.93-4.25
Rb: 0.7500 0.6448 0.3445  3 Rb 3.73-3.99, 4 Zr 3.90-3.91
Rb: 0.7500 0.8552 0.3445  3 Rb 3.73-3.99, 4 Zr 3.90-3.91
Rb: 0.7500 0.9867 0.8088  3 Zr 3.90-4.21, 5 Rb 3.93-4.25
Zr: 0.2500 0.2500 0.1529  6 Zr 3.02-3.07
Zr: 0.2500 0.6735 0.7227  2 Zr 2.71-2.85
Zr: 0.2500 0.7500 0.0504  4 Zr 2.85-3.02
Zr: 0.2500 0.8265 0.7227  2 Zr 2.71-2.85
Zr: 0.7500 0.1735 0.2773  2 Zr 2.71-2.85
Zr: 0.7500 0.2500 0.9496  4 Zr 2.85-3.02
Zr: 0.7500 0.3265 0.2773  2 Zr 2.71-2.85
Zr: 0.7500 0.7500 0.8471  6 Zr 3.02-3.07



3) First-principles (PBE) data for a relaxed structure of RbZr, as listed in OQMD.

Computed properties:
Its space group is Pmm2 (25).

abc: 3.3806 5.2514 20.0402
angles: 90.00 90.00 90.00
Closest atoms and distances in Å follow each position.
Fractional coordinates of all 8 atoms:
Rb: 0.0000 0.0000 0.0000  2 Rb 3.38
Rb: 0.0000 0.5000 0.1823  2 Rb 3.38
Rb: 0.5000 0.0000 0.3649  2 Rb 3.38
Rb: 0.5000 0.5000 0.5477  2 Rb 3.38
Zr: 0.0000 0.0000 0.6738  6 Zr 3.02-3.38
Zr: 0.0000 0.5000 0.7492  10 Zr 3.02-3.38
Zr: 0.5000 0.0000 0.7989  10 Zr 3.02-3.38
Zr: 0.5000 0.5000 0.8742  6 Zr 3.02-3.38



The relative energies come out as 1) 441; 2) 296; 3) 0, with values in meV per atom.



1) First-principles (PBE) data for a relaxed structure of Rb2Zr, as listed in OQMD.

Computed properties:
Its space group is Fd-3m (227).

abc: 7.3361 7.3361 7.3361
angles: 60.00 60.00 60.00
Closest atoms and distances in Å follow each position.
Fractional coordinates of all 6 atoms:
Rb: 0.0000 0.0000 0.0000  6 Rb 3.67
Rb: 0.0000 0.0000 0.5000  6 Rb 3.67
Rb: 0.0000 0.5000 0.0000  6 Rb 3.67
Rb: 0.5000 0.0000 0.0000  6 Rb 3.67
Zr: 0.3750 0.3750 0.3750  12 Rb 4.30, 4 Zr 4.49
Zr: 0.6250 0.6250 0.6250  12 Rb 4.30, 4 Zr 4.49



2) First-principles (PBE) data for a relaxed structure of Rb2Zr, as listed in OQMD.

Computed properties:
Its space group is Fd-3m (227).

abc: 12.0253 12.0253 12.0253
angles: 60.00 60.00 60.00
Closest atoms and distances in Å follow each position.
Fractional coordinates of all 6 atoms:
Rb: 0.0000 0.0000 0.0000  2 Zr 3.68
Rb: 0.0000 0.0000 0.5000  2 Zr 3.68
Rb: 0.0000 0.5000 0.0000  2 Zr 3.68
Rb: 0.5000 0.0000 0.0000  2 Zr 3.68
Zr: 0.1250 0.1250 0.1250  4 Rb 3.68
Zr: 0.8750 0.8750 0.8750  4 Rb 3.68



The relative energies come out as 1) 0; 2) 420, with values in meV per atom.



1) First-principles (PBE) data for a relaxed structure of Re, as listed in OQMD.

Computed properties:
Its space group is P4_132 (213).

abc: 6.7239 6.7239 6.7239
angles: 90.00 90.00 90.00
Closest atoms and distances in Å follow each position.
Fractional coordinates of all 20 atoms:
Re: 0.0481 0.0481 0.0481  12 Re 2.59-2.88
Re: 0.0564 0.8750 0.6936  10 Re 2.65-2.88
Re: 0.1250 0.1936 0.4436  10 Re 2.65-2.88
Re: 0.1936 0.4436 0.1250  10 Re 2.65-2.88
Re: 0.2019 0.7981 0.2981  12 Re 2.59-2.88
Re: 0.2981 0.2019 0.7981  12 Re 2.59-2.88
Re: 0.3064 0.5564 0.6250  10 Re 2.65-2.88
Re: 0.3750 0.8064 0.9436  10 Re 2.65-2.88
Re: 0.4436 0.1250 0.1936  10 Re 2.65-2.88
Re: 0.4519 0.9519 0.5481  12 Re 2.59-2.88
Re: 0.5481 0.4519 0.9519  12 Re 2.59-2.88
Re: 0.5564 0.6250 0.3064  10 Re 2.65-2.88
Re: 0.6250 0.3064 0.5564  10 Re 2.65-2.88
Re: 0.6936 0.0564 0.8750  10 Re 2.65-2.88
Re: 0.7019 0.7019 0.7019  12 Re 2.59-2.88
Re: 0.7981 0.2981 0.2019  12 Re 2.59-2.88
Re: 0.8064 0.9436 0.3750  10 Re 2.65-2.88
Re: 0.8750 0.6936 0.0564  10 Re 2.65-2.88
Re: 0.9436 0.3750 0.8064  10 Re 2.65-2.88
Re: 0.9519 0.5481 0.4519  12 Re 2.59-2.88



2) First-principles (PBE) data for a relaxed structure of Re, as listed in OQMD.

Computed properties:
Its space group is Fd-3m (227).

abc: 5.0800 5.0800 5.0800
angles: 60.00 60.00 60.00
Closest atoms and distances in Å follow each position.
Fractional coordinates of all 6 atoms:
Re: 0.0000 0.0000 0.0000  6 Re 2.54
Re: 0.0000 0.0000 0.5000  6 Re 2.54
Re: 0.0000 0.5000 0.0000  6 Re 2.54
Re: 0.3750 0.3750 0.3750  16 Re 2.98-3.11
Re: 0.5000 0.0000 0.0000  6 Re 2.54
Re: 0.6250 0.6250 0.6250  16 Re 2.98-3.11



3) First-principles (PBE) data for a relaxed structure of Re, as listed in OQMD.

Computed properties:
Its space group is R-3m (166).

abc: 2.7850 2.7850 6.5793
angles: 90.00 90.00 120.00
Closest atoms and distances in Å follow each position.
Fractional coordinates of all 3 atoms:
Re: 0.0000 0.0000 0.0000  12 Re 2.72-2.79
Re: 0.3333 0.6667 0.6667  12 Re 2.72-2.79
Re: 0.6667 0.3333 0.3333  12 Re 2.72-2.79



The relative energies come out as 1) 0; 2) 266; 3) 18, with values in meV per atom.